# Ho8Te4As3Se (PBE-GGA, optimized geometry)
# uncorrected energy	-5.6511	eV/atom
# ΔE_f (raw)	-1.4872	eV per atom
data_Ho8Te4As3Se
_chemical_formula_sum 'Ho8 Te4 As3 Se1'
_cell_length_a 8.345
_cell_length_b 8.531
_cell_length_c 8.345
_cell_angle_alpha 119.28
_cell_angle_beta 120.00
_cell_angle_gamma 90.00
_symmetry_space_group_name_H-M 'P 1'
_symmetry_Int_Tables_number 1
loop_
_symmetry_equiv_pos_as_xyz
'x,y,z'
loop_
_atom_site_label
_atom_site_type_symbol
_atom_site_fract_x
_atom_site_fract_y
_atom_site_fract_z
_atom_site_occupancy
Ho1 Ho 0.241 0.717 0.975 1
Ho2 Ho 0.241 0.717 0.483 1
Ho3 Ho 0.261 0.284 0.523 1
Ho4 Ho 0.734 0.717 0.975 1
Ho5 Ho 0.266 0.283 0.025 1
Ho6 Ho 0.739 0.716 0.477 1
Ho7 Ho 0.759 0.283 0.517 1
Ho8 Ho 0.759 0.283 0.025 1
Te1 Te 0.500 0.000 0.000 1
Te2 Te 0.500 0.000 0.500 1
Te3 Te 0.000 0.000 0.000 1
Te4 Te 0.000 0.000 0.500 1
As1 As 0.500 0.500 0.000 1
As2 As 0.500 0.500 0.500 1
As3 As 0.000 0.500 0.500 1
Se1 Se 0.000 0.500 0.000 1